Material: NbRe2PdAu
Method: DFT, meta-GGA SCAN
State: single point on PBEsol structure

a b c (Å): 4.6002 4.6002 4.7058
angles (deg): 90.00 90.00 90.00
Space group P4/mmm (No. 123)
Unique sites:
1 Nb 0.0000 0.0000 0.0000 x1
2 Re 0.0000 0.5000 0.5000 x2
3 Pd 0.5000 0.5000 0.5000 x1
4 Au 0.5000 0.5000 0.0000 x1

Values from the calculation:
crystal system: tetragonal
DFT total energy: -53.303 eV/atom
energy of formation from the pure elements: 2.15 eV/atom